DFT (GGA-PBE) results for TbPm2Zr after structural relaxation.

Geometry as POSCAR:
```
TbPm2Zr
1.0
-1.1038 -2.0329 -5.0449
3.8819 0.1523 -3.9635
2.4253 -4.6969 -1.6908
Tb Zr Pm
1 1 2
Direct
0.0000 0.0000 0.0000
0.5000 0.5000 0.5000
0.2500 0.2500 0.2500
0.7500 0.7500 0.7500
```

## Properties
E: -21.779 eV per cell
energy relative to the elements: 0.2253 eV per atom
energy relative to the lowest polymorph listed for this composition: 110 meV per atom

***

DFT (GGA-PBE) results for PmTc after structural relaxation.

Geometry as POSCAR:
```
PmTc
1.0
-0.5425 2.6992 -3.1583
-3.8549 0.7995 -1.4336
-2.0711 6.2876 2.9479
Pm Tc
2 2
Direct
0.5975 0.5975 0.2077
0.4025 0.4025 0.7923
0.8196 0.8196 0.5412
0.1804 0.1804 0.4588
```

## Properties
E: -30.127 eV per cell
energy relative to the elements: 0.0267 eV per atom
energy relative to the lowest polymorph listed for this composition: 0 meV per atom

***

DFT (GGA-PBE) results for PmTc6 after structural relaxation.

Geometry as POSCAR:
```
PmTc6
1.0
5.2020 0.0000 0.0000
0.0000 8.5467 0.0000
0.0000 0.0000 10.7361
Pm Tc
4 24
Direct
0.7500 0.2331 0.9446
0.2500 0.7669 0.0554
0.7500 0.7331 0.5554
0.2500 0.2669 0.4446
0.7500 0.5803 0.0227
0.2500 0.4197 0.9773
0.7500 0.0803 0.4773
0.2500 0.9197 0.5227
0.0091 0.4313 0.1948
0.5091 0.5687 0.8052
0.4909 0.9313 0.3052
0.9909 0.0687 0.6948
0.9909 0.5687 0.8052
0.4909 0.4313 0.1948
0.5091 0.0687 0.6948
0.0091 0.9313 0.3052
0.2500 0.1421 0.1484
0.7500 0.8579 0.8516
0.2500 0.6421 0.3516
0.7500 0.3579 0.6484
0.2500 0.8131 0.7577
0.7500 0.1869 0.2423
0.2500 0.3131 0.7423
0.7500 0.6869 0.2577
0.2500 0.5781 0.5790
0.7500 0.4219 0.4210
0.2500 0.0781 0.9210
0.7500 0.9219 0.0790
```

## Properties
E: -265.771 eV per cell
energy relative to the elements: 0.0720 eV per atom
energy relative to the lowest polymorph listed for this composition: 0 meV per atom

***

DFT (GGA-PBE) results for PmTc5 after structural relaxation.

Geometry as POSCAR:
```
PmTc5
1.0
3.0380 0.0000 0.0000
0.0000 4.7316 0.0000
0.0000 -2.3658 7.0263
Tc Pm
5 1
Direct
0.0000 0.6553 0.3106
0.0000 0.3447 0.6894
0.5000 0.5000 0.0000
0.5000 0.1948 0.3897
0.5000 0.8052 0.6103
0.0000 0.0000 0.0000
```

## Properties
E: -54.383 eV per cell
energy relative to the elements: 0.3662 eV per atom

***

DFT (GGA-PBE) results for PmTc6 after structural relaxation.

Geometry as POSCAR:
```
PmTc6
1.0
5.8686 0.0000 0.0000
-1.9562 5.5330 0.0000
-1.9562 -2.7665 4.7917
Pm Tc
1 6
Direct
0.0000 0.0000 0.0000
0.2500 0.7500 0.5000
0.5000 0.7500 0.2500
0.2500 0.5000 0.7500
0.7500 0.2500 0.5000
0.5000 0.2500 0.7500
0.7500 0.5000 0.2500
```

## Properties
E: -61.236 eV per cell
energy relative to the elements: 0.8157 eV per atom
energy relative to the lowest polymorph listed for this composition: 744 meV per atom

***

DFT (GGA-PBE) results for PmTc after structural relaxation.

Geometry as POSCAR:
```
PmTc
1.0
4.6448 0.0000 -0.0165
0.0000 4.0556 0.0000
-2.3082 0.0000 5.3645
Tc Pm
2 2
Direct
0.9410 0.2500 0.8860
0.0590 0.7500 0.1140
0.6461 0.2500 0.2909
0.3539 0.7500 0.7091
```

## Properties
E: -29.823 eV per cell
energy relative to the elements: 0.1024 eV per atom
energy relative to the lowest polymorph listed for this composition: 76 meV per atom

***

DFT (GGA-PBE) results for PmThTc after structural relaxation.

Geometry as POSCAR:
```
PmThTc
1.0
4.6397 0.0000 0.0000
-2.3199 3.7944 -1.3217
0.0000 0.3951 9.2901
Pm Th Tc
2 2 2
Direct
0.3701 0.7401 0.1102
0.6299 0.2599 0.8898
0.7891 0.5783 0.3678
0.2109 0.4217 0.6322
0.9093 0.8185 0.7274
0.0907 0.1815 0.2726
```

## Properties
E: -44.712 eV per cell
energy relative to the elements: 0.0601 eV per atom
energy relative to the lowest polymorph listed for this composition: 71 meV per atom

***

DFT (GGA-PBE) results for PmTh2Tc9 after structural relaxation.

Geometry as POSCAR:
```
PmTh2Tc9
1.0
5.4545 0.0347 1.3799
2.5162 4.5686 1.4047
-0.1643 -0.0471 9.0790
Pm Th Tc
1 2 9
Direct
0.0000 0.0000 0.0000
0.8555 0.8557 0.4250
0.1445 0.1443 0.5750
0.6218 0.6704 0.0125
0.3782 0.3296 0.9875
0.5000 0.5000 0.5000
0.4175 0.4229 0.2548
0.9313 0.4096 0.2331
0.3875 0.9478 0.2420
0.5825 0.5771 0.7452
0.6125 0.0522 0.7580
0.0687 0.5904 0.7669
```

## Properties
E: -112.910 eV per cell
energy relative to the elements: -0.0022 eV per atom

***

DFT (GGA-PBE) results for PmTh3Tc after structural relaxation.

Geometry as POSCAR:
```
PmTh3Tc
1.0
5.5025 0.0000 0.0000
0.0000 5.5025 0.0000
0.0000 0.0000 5.5025
Tc Th Pm
1 3 1
Direct
0.0000 0.0000 0.0000
0.0000 0.5000 0.0000
0.0000 0.0000 0.5000
0.5000 0.0000 0.0000
0.5000 0.5000 0.5000
```

## Properties
E: -36.868 eV per cell
energy relative to the elements: 0.1016 eV per atom

***

DFT (GGA-PBE) results for PmThTc2 after structural relaxation.

Geometry as POSCAR:
```
PmThTc2
1.0
4.9779 0.0000 0.0000
2.4889 4.3109 0.0000
2.4889 1.4370 4.0644
Tc Th Pm
2 1 1
Direct
0.2500 0.2500 0.2500
0.7500 0.7500 0.7500
0.0000 0.0000 0.0000
0.5000 0.5000 0.5000
```

## Properties
E: -32.408 eV per cell
energy relative to the elements: 0.1237 eV per atom
energy relative to the lowest polymorph listed for this composition: 24 meV per atom

***

DFT (GGA-PBE) results for PmTh2Tc after structural relaxation.

Geometry as POSCAR:
```
PmTh2Tc
1.0
3.5621 0.0000 0.0000
0.0000 3.5621 0.0000
0.0000 0.0000 8.7709
Tc Th Pm
1 2 1
Direct
0.5000 0.5000 0.0000
0.0000 0.0000 0.7986
0.0000 0.0000 0.2014
0.5000 0.5000 0.5000
```

## Properties
E: -29.860 eV per cell
energy relative to the elements: 0.0240 eV per atom
energy relative to the lowest polymorph listed for this composition: 127 meV per atom

***

DFT (GGA-PBE) results for PmTh2Tc after structural relaxation.

Geometry as POSCAR:
```
PmTh2Tc
1.0
-3.8340 1.2232 0.4748
-3.0408 -2.2615 -1.4354
-2.7122 -4.6309 7.3217
Pm Th Tc
1 2 1
Direct
0.5024 0.5024 0.4929
0.0588 0.0588 0.8236
0.2750 0.2750 0.1749
0.6638 0.6638 0.0086
```

## Properties
E: -29.679 eV per cell
energy relative to the elements: 0.0694 eV per atom
energy relative to the lowest polymorph listed for this composition: 173 meV per atom

***

DFT (GGA-PBE) results for PmThTc after structural relaxation.

Geometry as POSCAR:
```
PmThTc
1.0
7.3917 -0.0740 0.0000
-1.9601 7.1274 0.0000
-2.7158 -3.5267 6.6008
Pm Th Tc
4 4 4
Direct
0.8082 0.5447 0.1844
0.8739 0.1104 0.3156
0.7947 0.5582 0.6844
0.3604 0.6239 0.8156
0.3289 0.4242 0.2667
0.6742 0.0789 0.7667
0.3122 0.9075 0.2333
0.1575 0.0622 0.7333
0.0780 0.4597 0.9705
0.7097 0.8280 0.4705
0.4892 0.1075 0.0295
0.3575 0.2392 0.5295
```

## Properties
E: -90.279 eV per cell
energy relative to the elements: -0.0111 eV per atom
energy relative to the lowest polymorph listed for this composition: 0 meV per atom

***

DFT (GGA-PBE) results for PmThTc2 after structural relaxation.

Geometry as POSCAR:
```
PmThTc2
1.0
-2.7158 0.8184 2.0860
-0.7016 -3.4234 0.4296
4.3012 -0.1704 5.6667
Tc Th Pm
2 1 1
Direct
0.0000 0.0000 0.7736
0.0000 0.0000 0.2264
0.5000 0.5000 0.0000
0.5000 0.5000 0.5000
```

## Properties
E: -32.502 eV per cell
energy relative to the elements: 0.1001 eV per atom
energy relative to the lowest polymorph listed for this composition: 0 meV per atom

***

DFT (GGA-PBE) results for Pm3Th2Tc2 after structural relaxation.

Geometry as POSCAR:
```
Pm3Th2Tc2
1.0
3.9033 0.0015 -0.8755
-2.4235 5.7384 -1.6840
-0.0684 0.0962 8.8381
Pm Th Tc
3 2 2
Direct
0.5000 0.0000 0.0000
0.2030 0.8236 0.5813
0.7970 0.1764 0.4187
0.6441 0.4780 0.8107
0.3559 0.5220 0.1893
0.0160 0.8231 0.2086
0.9840 0.1769 0.7914
```

## Properties
E: -50.211 eV per cell
energy relative to the elements: -0.0553 eV per atom

***

DFT (GGA-PBE) results for PmTh2Tc after structural relaxation.

Geometry as POSCAR:
```
PmTh2Tc
1.0
3.8617 0.0000 0.0000
1.9308 3.3443 0.0000
1.9308 1.1148 10.2664
Tc Th Pm
1 2 1
Direct
0.5000 0.5000 0.5000
0.1127 0.1127 0.6619
0.8873 0.8873 0.3381
0.0000 0.0000 0.0000
```

## Properties
E: -28.827 eV per cell
energy relative to the elements: 0.2822 eV per atom
energy relative to the lowest polymorph listed for this composition: 385 meV per atom

***

DFT (GGA-PBE) results for PmTh2Tc after structural relaxation.

Geometry as POSCAR:
```
PmTh2Tc
1.0
-0.3161 -3.1981 -2.2238
-1.3274 -1.6374 5.9789
-9.3158 1.9816 -1.5256
Pm Th Tc
2 4 2
Direct
0.9212 0.8447 0.2500
0.0788 0.1553 0.7500
0.3595 0.7183 0.5638
0.6405 0.2817 0.4362
0.3595 0.7183 0.9362
0.6405 0.2817 0.0638
0.7881 0.5733 0.7500
0.2119 0.4267 0.2500
```

## Properties
E: -60.613 eV per cell
energy relative to the elements: -0.0875 eV per atom
energy relative to the lowest polymorph listed for this composition: 16 meV per atom

***

DFT (GGA-PBE) results for PmThTc after structural relaxation.

Geometry as POSCAR:
```
PmThTc
1.0
-2.3463 -2.2880 1.3744
-0.2975 -1.5944 -3.1620
5.7447 -1.7318 2.3298
Tc Th Pm
1 1 1
Direct
0.6781 0.6781 0.3562
0.3073 0.3073 0.6147
0.0146 0.0146 0.0291
```

## Properties
E: -22.543 eV per cell
energy relative to the elements: -0.0023 eV per atom
energy relative to the lowest polymorph listed for this composition: 9 meV per atom

***

DFT (GGA-PBE) results for PmTh2Tc after structural relaxation.

Geometry as POSCAR:
```
PmTh2Tc
1.0
-6.3621 -0.3751 0.9428
-1.0529 -0.3566 -7.2470
0.6287 -9.6944 0.3857
Pm Th Tc
4 8 4
Direct
0.6411 0.5399 0.2500
0.8589 0.0399 0.2500
0.3589 0.4601 0.7500
0.1411 0.9601 0.7500
0.1679 0.6702 0.0628
0.3321 0.1702 0.4372
0.8321 0.3298 0.5628
0.6679 0.8298 0.9372
0.8321 0.3298 0.9372
0.6679 0.8298 0.5628
0.1679 0.6702 0.4372
0.3321 0.1702 0.0628
0.0997 0.3891 0.2500
0.4003 0.8891 0.2500
0.9003 0.6109 0.7500
0.5997 0.1109 0.7500
```

## Properties
E: -121.475 eV per cell
energy relative to the elements: -0.1031 eV per atom
energy relative to the lowest polymorph listed for this composition: 0 meV per atom

***

DFT (GGA-PBE) results for PmThTc after structural relaxation.

Geometry as POSCAR:
```
PmThTc
1.0
4.9278 0.0000 0.0000
2.4639 4.2676 0.0000
2.4639 1.4225 4.0235
Tc Th Pm
1 1 1
Direct
0.2500 0.2500 0.2500
0.5000 0.5000 0.5000
0.0000 0.0000 0.0000
```

## Properties
E: -22.314 eV per cell
energy relative to the elements: 0.0743 eV per atom
energy relative to the lowest polymorph listed for this composition: 85 meV per atom

***

DFT (GGA-PBE) results for PmThTlTc after structural relaxation.

Geometry as POSCAR:
```
PmThTlTc
1.0
-0.1170 3.2684 1.2342
-1.8867 0.9802 -2.7747
-7.2838 -1.8801 4.2885
Pm Th Tl Tc
1 1 1 1
Direct
0.5000 0.5000 0.7766
0.5000 0.5000 0.3744
0.0000 0.0000 0.0686
0.0000 0.0000 0.5651
```

## Properties
E: -25.518 eV per cell
energy relative to the elements: -0.1537 eV per atom

***

DFT (GGA-PBE) results for PmThZnTc after structural relaxation.

Geometry as POSCAR:
```
PmThZnTc
1.0
5.0897 0.0000 0.0000
2.5449 4.4078 0.0000
2.5449 1.4693 4.1557
Zn Tc Th Pm
1 1 1 1
Direct
0.0000 0.0000 0.0000
0.5000 0.5000 0.5000
0.7500 0.7500 0.7500
0.2500 0.2500 0.2500
```

## Properties
E: -24.099 eV per cell
energy relative to the elements: -0.0722 eV per atom

***

DFT (GGA-PBE) results for PmTiTc after structural relaxation.

Geometry as POSCAR:
```
PmTiTc
1.0
4.1875 0.0000 0.0000
-2.0937 3.5334 0.7948
0.0000 0.2728 9.7663
Ti Pm Tc
2 2 2
Direct
0.1362 0.2725 0.0912
0.8638 0.7275 0.9088
0.3851 0.7703 0.3448
0.6149 0.2297 0.6552
0.2276 0.4552 0.8172
0.7724 0.5448 0.1828
```

## Properties
E: -45.262 eV per cell
energy relative to the elements: 0.1269 eV per atom

***

DFT (GGA-PBE) results for PmTi2Tc after structural relaxation.

Geometry as POSCAR:
```
PmTi2Tc
1.0
-2.6107 1.3908 -1.1934
-1.4568 -0.3146 2.8202
2.7145 6.9652 2.1792
Ti Tc Pm
2 1 1
Direct
0.0000 0.0000 0.8178
0.0000 0.0000 0.1822
0.5000 0.5000 0.0000
0.5000 0.5000 0.5000
```

## Properties
E: -31.411 eV per cell
energy relative to the elements: -0.1262 eV per atom

***

DFT (GGA-PBE) results for Pm8Tl2Tc after structural relaxation.

Geometry as POSCAR:
```
Pm8Tl2Tc
1.0
-2.6881 1.0003 -4.9452
2.4185 -6.1596 -2.5606
-6.4938 -1.2028 6.5910
Pm Tl Tc
8 2 1
Direct
0.6239 0.8604 0.2479
0.3760 0.6125 0.7521
0.1943 0.1943 0.3885
0.0000 0.2448 0.0000
0.8057 0.8057 0.6115
0.6240 0.3875 0.2479
0.3761 0.1396 0.7521
0.0000 0.7552 0.0000
0.1864 0.6864 0.3729
0.8136 0.3136 0.6271
0.5000 0.0000 0.0000
```

## Properties
E: -54.491 eV per cell
energy relative to the elements: -0.1262 eV per atom